# Sr3Cd5O12 PBE optimized geometry
data_Sr3Cd5O12
_chemical_formula_sum 'Sr24 Cd40 O96'
_cell_length_a 13.773
_cell_length_b 13.773
_cell_length_c 13.773
_cell_angle_alpha 90.00
_cell_angle_beta 90.00
_cell_angle_gamma 90.00
_space_group_name_H-M_alt 'I a -3 d'
_space_group_IT_number 230
_space_group_name_Hall '-I 4bd 2c 3'
loop_
_atom_site_label
_atom_site_fract_x
_atom_site_fract_y
_atom_site_fract_z
_atom_site_occupancy
Sr1 0.000 0.250 0.125 1
Cd1 0.000 0.000 0.000 1
Cd2 0.000 0.250 0.375 1
O1 0.023 0.062 0.649 1
# Formation energy without anion corrections ... -1.016 eV per atom
# Magnetic moment ... 8.087 μB/f.u.